[1]
## SrCaPmDy (PBE)

Data for a relaxed SrCaPmDy crystal.

Results
Its total moment is 0.00 μB per formula unit. The calculated volume is 38.29 Å³ per atom. Its space-group type is F-43m. The calculation puts the formation energy at 0.76 eV per formula unit.

Structure (POSCAR):
```
SrCaPmDy
1.0
-0.1597 -5.2073 -2.9871
-0.8893 -5.1412 2.9734
-5.1915 -2.9579 -0.6026
Sr Pm Dy Ca
1 1 1 1
direct
0.2500 0.2500 0.2500 Sr
0.5000 0.5000 0.5000 Pm
0.7500 0.7500 0.7500 Dy
0.0000 0.0000 0.0000 Ca
```

[2]
## CaTb3Pm6Dy2 (PBE)

Data for a relaxed CaTb3Pm6Dy2 crystal.

Results
Its total moment is 0.00 μB per formula unit. The calculated volume is 33.52 Å³ per atom. Its space-group type is C2/m. The calculation puts the formation energy at 0.41 eV per formula unit.

Structure (POSCAR):
```
CaTb3Pm6Dy2
1.0
6.2899 -0.0005 0.0131
-3.1438 5.4479 0.0131
-1.0655 -1.8449 11.7298
Dy Pm Tb Ca
2 6 3 1
direct
0.3334 0.6666 0.0000 Dy
0.6666 0.3334 0.0000 Dy
0.7444 0.7444 0.2531 Pm
0.9155 0.5753 0.7476 Pm
0.5753 0.9155 0.7476 Pm
0.2556 0.2556 0.7469 Pm
0.4247 0.0845 0.2524 Pm
0.0845 0.4247 0.2524 Pm
0.1663 0.8337 0.5000 Tb
0.5000 0.5000 0.5000 Tb
0.8337 0.1663 0.5000 Tb
0.0000 0.0000 0.0000 Ca
```